Record 1
Hg2H2I | PBE | relaxed

```
data_Hg2H2I
_cell_length_a 5.0263
_cell_length_b 5.0557
_cell_length_c 5.1707
_cell_angle_alpha 79.94
_cell_angle_beta 79.85
_cell_angle_gamma 74.08
_symmetry_space_group_name_H-M 'P -1'
_symmetry_Int_Tables_number 2
loop_
_symmetry_equiv_pos_as_xyz
'x,y,z'
'-x,-y,-z'
loop_
_atom_site_label
_atom_site_type_symbol
_atom_site_fract_x
_atom_site_fract_y
_atom_site_fract_z
_atom_site_occupancy
Hg1 Hg 0.1371 0.1366 0.1200 1
H1 H 0.3120 0.3112 0.2852 1
I1 I 0.5000 0.5000 0.5000 1
```

Values from the calculation:
Excess energy over the best structure of this formula in the dataset   0 meV/atom
N(E_F)   0.64 states/eV/f.u.
Final energy   -1.58 eV per atom

Record 2
LiPRhO2 | PBE | relaxed

```
data_LiPRhO2
_cell_length_a 3.5110
_cell_length_b 3.5110
_cell_length_c 4.7722
_cell_angle_alpha 90.00
_cell_angle_beta 90.00
_cell_angle_gamma 90.00
_symmetry_space_group_name_H-M 'P 4/m m m'
_symmetry_Int_Tables_number 123
_symmetry_space_group_name_Hall '-P 4 2'
loop_
_atom_site_label
_atom_site_type_symbol
_atom_site_fract_x
_atom_site_fract_y
_atom_site_fract_z
_atom_site_occupancy
Li1 Li 0.0000 0.0000 0.0000 1
P1 P 0.0000 0.0000 0.5000 1
Rh1 Rh 0.5000 0.5000 0.5000 1
O1 O 0.0000 0.5000 0.0000 1
```

Values from the calculation:
Excess energy over the best structure of this formula in the dataset   494 meV/atom
Formation energy from raw total energies   1.6 eV per formula unit
N(E_F)   4.03 states/eV/f.u.
Final energy   -4.60 eV per atom

Record 3
Nd5Np3S8 | PBE | relaxed

```
data_Nd5Np3S8
_cell_length_a 8.0226
_cell_length_b 8.0226
_cell_length_c 19.6528
_cell_angle_alpha 90.00
_cell_angle_beta 90.00
_cell_angle_gamma 120.00
_symmetry_space_group_name_H-M 'R -3 m'
_symmetry_Int_Tables_number 166
_symmetry_space_group_name_Hall '-R 3 2"'
loop_
_atom_site_label
_atom_site_type_symbol
_atom_site_fract_x
_atom_site_fract_y
_atom_site_fract_z
_atom_site_occupancy
Nd1 Nd 0.0000 0.0000 0.0000 1
Nd2 Nd 0.0000 0.0000 0.5000 1
Nd3 Nd 0.0000 0.5000 0.0000 1
Np1 Np 0.0000 0.5000 0.5000 1
S1 S 0.0000 0.0000 0.2450 1
S2 S 0.0062 0.5031 0.7531 1
```

Values from the calculation:
Formation energy from raw total energies   -28.4 eV per formula unit
N(E_F)   29.29 states/eV/f.u.
Final energy   -7.76 eV per atom

Record 4
In3PCl | PBE | relaxed

```
data_In3PCl
_cell_length_a 5.3530
_cell_length_b 5.3530
_cell_length_c 5.3530
_cell_angle_alpha 90.00
_cell_angle_beta 90.00
_cell_angle_gamma 90.00
_symmetry_space_group_name_H-M 'P m -3 m'
_symmetry_Int_Tables_number 221
_symmetry_space_group_name_Hall '-P 4 2 3'
loop_
_atom_site_label
_atom_site_type_symbol
_atom_site_fract_x
_atom_site_fract_y
_atom_site_fract_z
_atom_site_occupancy
In1 In 0.0000 0.0000 0.5000 1
P1 P 0.0000 0.0000 0.0000 1
Cl1 Cl 0.5000 0.5000 0.5000 1
```

Values from the calculation:
Excess energy over the best structure of this formula in the dataset   0 meV/atom
Formation energy from raw total energies   0.3 eV per formula unit
N(E_F)   1.91 states/eV/f.u.
Final energy   -3.04 eV per atom

Record 5
NaMgP2O6 | PBE | relaxed

```
data_NaMgP2O6
_cell_length_a 10.3489
_cell_length_b 9.4570
_cell_length_c 5.9602
_cell_angle_alpha 90.00
_cell_angle_beta 115.77
_cell_angle_gamma 90.00
_symmetry_space_group_name_H-M 'C 1 2/c 1'
_symmetry_Int_Tables_number 15
loop_
_symmetry_equiv_pos_as_xyz
'x,y,z'
'-x,-y,-z'
'-x,y,-z+1/2'
'x,-y,z+1/2'
'x+1/2,y+1/2,z'
'-x+1/2,-y+1/2,-z'
'-x+1/2,y+1/2,-z+1/2'
'x+1/2,-y+1/2,z+1/2'
loop_
_atom_site_label
_atom_site_type_symbol
_atom_site_fract_x
_atom_site_fract_y
_atom_site_fract_z
_atom_site_occupancy
Na1 Na 0.0000 0.1302 0.2500 1
Mg1 Mg 0.0000 0.2280 0.7500 1
P1 P 0.2065 0.4296 0.1887 1
O1 O 0.1199 0.2923 0.0908 1
O2 O 0.1292 0.0955 0.6859 1
O3 O 0.1668 0.4678 0.4502 1
```

Values from the calculation:
Formation energy from raw total energies   -20.7 eV per formula unit
N(E_F)   1.58 states/eV/f.u.
Final energy   -6.42 eV per atom

Record 6
La3PmTc | PBE | relaxed

```
data_La3PmTc
_cell_length_a 7.2100
_cell_length_b 6.9801
_cell_length_c 13.1299
_cell_angle_alpha 90.00
_cell_angle_beta 91.40
_cell_angle_gamma 90.00
_symmetry_space_group_name_H-M 'P 1 2/c 1'
_symmetry_Int_Tables_number 13
loop_
_symmetry_equiv_pos_as_xyz
'x,y,z'
'-x,-y,-z'
'-x,y,-z+1/2'
'x,-y,z+1/2'
loop_
_atom_site_label
_atom_site_type_symbol
_atom_site_fract_x
_atom_site_fract_y
_atom_site_fract_z
_atom_site_occupancy
La1 La 0.1136 0.2491 0.4529 1
La2 La 0.2490 0.0022 0.2161 1
La3 La 0.3832 0.2596 0.9609 1
Pm1 Pm 0.2407 0.4916 0.7152 1
Tc1 Tc 0.0693 0.2363 0.8655 1
```

Values from the calculation:
Excess energy over the best structure of this formula in the dataset   0 meV/atom
Formation energy   0.017 eV/atom
N(E_F)   6.43 states/eV/f.u.
Final energy   -5.96 eV per atom

Record 7
Li4Np3MoN8 | PBE | relaxed

```
data_Li4Np3MoN8
_cell_length_a 6.6437
_cell_length_b 6.6437
_cell_length_c 15.2572
_cell_angle_alpha 90.00
_cell_angle_beta 90.00
_cell_angle_gamma 120.00
_symmetry_space_group_name_H-M 'R -3 m'
_symmetry_Int_Tables_number 166
_symmetry_space_group_name_Hall '-R 3 2"'
loop_
_atom_site_label
_atom_site_type_symbol
_atom_site_fract_x
_atom_site_fract_y
_atom_site_fract_z
_atom_site_occupancy
Li1 Li 0.0000 0.0000 0.0000 1
Li2 Li 0.0000 0.5000 0.0000 1
Np1 Np 0.0000 0.5000 0.5000 1
Mo1 Mo 0.0000 0.0000 0.5000 1
N1 N 0.0000 0.0000 0.2385 1
N2 N 0.0107 0.5053 0.2376 1
```

Values from the calculation:
Formation energy from raw total energies   -12.6 eV per formula unit
N(E_F)   15.31 states/eV/f.u.
Final energy   -8.53 eV per atom

Record 8
LaHfAu | PBE | relaxed

```
data_LaHfAu
_cell_length_a 11.9079
_cell_length_b 3.5067
_cell_length_c 8.7185
_cell_angle_alpha 90.00
_cell_angle_beta 123.61
_cell_angle_gamma 90.00
_symmetry_space_group_name_H-M 'C 1 m 1'
_symmetry_Int_Tables_number 8
loop_
_symmetry_equiv_pos_as_xyz
'x,y,z'
'x,-y,z'
'x+1/2,y+1/2,z'
'x+1/2,-y+1/2,z'
loop_
_atom_site_label
_atom_site_type_symbol
_atom_site_fract_x
_atom_site_fract_y
_atom_site_fract_z
_atom_site_occupancy
La1 La 0.0000 0.0000 0.0000 1
La2 La 0.2383 0.5000 0.4066 1
Hf1 Hf 0.0937 0.5000 0.7438 1
Hf2 Hf 0.3047 0.0000 0.1016 1
Au1 Au 0.2738 0.0000 0.7195 1
Au2 Au 0.4966 0.5000 0.3991 1
```

Values from the calculation:
Excess energy over the best structure of this formula in the dataset   142 meV/atom
Formation energy   -0.263 eV/atom
N(E_F)   3.20 states/eV/f.u.
Final energy   -6.32 eV per atom

Record 9
SrNp4As5 | PBE | relaxed

```
data_SrNp4As5
_cell_length_a 4.1545
_cell_length_b 5.8882
_cell_length_c 20.9587
_cell_angle_alpha 90.00
_cell_angle_beta 90.00
_cell_angle_gamma 90.00
_symmetry_space_group_name_H-M 'I m m m'
_symmetry_Int_Tables_number 71
_symmetry_space_group_name_Hall '-I 2 2'
loop_
_atom_site_label
_atom_site_type_symbol
_atom_site_fract_x
_atom_site_fract_y
_atom_site_fract_z
_atom_site_occupancy
Sr1 Sr 0.0000 0.0000 0.0000 1
Np1 Np 0.0000 0.0000 0.2042 1
Np2 Np 0.0000 0.0000 0.4002 1
As1 As 0.0000 0.5000 0.0000 1
As2 As 0.0000 0.5000 0.1976 1
As3 As 0.0000 0.5000 0.3891 1
```

Values from the calculation:
Formation energy   -0.745 eV/atom
N(E_F)   37.28 states/eV/f.u.
Final energy   -8.41 eV per atom

Record 10
Ac5La6Y | PBE | relaxed

```
data_Ac5La6Y
_cell_length_a 5.4493
_cell_length_b 10.7861
_cell_length_c 16.2416
_cell_angle_alpha 90.00
_cell_angle_beta 90.00
_cell_angle_gamma 90.00
_symmetry_space_group_name_H-M 'I m m m'
_symmetry_Int_Tables_number 71
_symmetry_space_group_name_Hall '-I 2 2'
loop_
_atom_site_label
_atom_site_type_symbol
_atom_site_fract_x
_atom_site_fract_y
_atom_site_fract_z
_atom_site_occupancy
Ac1 Ac 0.0000 0.0000 0.0000 1
Ac2 Ac 0.0000 0.0000 0.3372 1
Ac3 Ac 0.0000 0.5000 0.3329 1
La1 La 0.0000 0.2474 0.5000 1
La2 La 0.0000 0.2523 0.1653 1
Y1 Y 0.0000 0.5000 0.0000 1
```

Values from the calculation:
Formation energy   0.028 eV/atom
N(E_F)   24.93 states/eV/f.u.
Final energy   -4.69 eV per atom

What did the ninth record say?
SrNp4As5 | PBE | relaxed

```
data_SrNp4As5
_cell_length_a 4.1545
_cell_length_b 5.8882
_cell_length_c 20.9587
_cell_angle_alpha 90.00
_cell_angle_beta 90.00
_cell_angle_gamma 90.00
_symmetry_space_group_name_H-M 'I m m m'
_symmetry_Int_Tables_number 71
_symmetry_space_group_name_Hall '-I 2 2'
loop_
_atom_site_label
_atom_site_type_symbol
_atom_site_fract_x
_atom_site_fract_y
_atom_site_fract_z
_atom_site_occupancy
Sr1 Sr 0.0000 0.0000 0.0000 1
Np1 Np 0.0000 0.0000 0.2042 1
Np2 Np 0.0000 0.0000 0.4002 1
As1 As 0.0000 0.5000 0.0000 1
As2 As 0.0000 0.5000 0.1976 1
As3 As 0.0000 0.5000 0.3891 1
```

Values from the calculation:
Formation energy   -0.745 eV/atom
N(E_F)   37.28 states/eV/f.u.
Final energy   -8.41 eV per atom

Q: The lowest final energy belongs to which entry?
A: Li4Np3MoN8